## MgScSb2 (PBEsol)

Data for a relaxed MgScSb2 crystal.

Unit cell a=3.159 b=3.159 c=9.891 alpha=90.00 beta=90.00 gamma=90.00
Space group P4mm (No. 99)
Inequivalent atoms, fractional coordinates:
Mg1 0.000 0.000 0.000 x1
Sc1 0.500 0.500 0.758 x1
Sb1 0.000 0.000 0.545 x1
Sb2 0.500 0.500 0.223 x1

Calculated values
Formation energy from raw total energies, eV per atom: -0.21
M_tot, μB per atom: 0.000